No. 1
# Sr5NdTl6

A relaxed structure of Sr5NdTl6 (PBE, the Alexandria database).

The structure in POSCAR format:
```
Sr5NdTl6
1.0
2.8763 -8.6531 0.0000
2.8763 8.6531 0.0000
0.0000 0.0000 8.1022
Sr Nd Tl
5 1 6
direct
0.0000 0.0000 0.0000 Sr
0.3313 0.6687 0.0000 Sr
0.3306 0.6694 0.5000 Sr
0.6687 0.3313 0.0000 Sr
0.6694 0.3306 0.5000 Sr
0.0000 0.0000 0.5000 Nd
0.1611 0.8389 0.2583 Tl
0.1611 0.8389 0.7417 Tl
0.5000 0.5000 0.2619 Tl
0.5000 0.5000 0.7381 Tl
0.8389 0.1611 0.2583 Tl
0.8389 0.1611 0.7417 Tl
```

Summary:
The calculation puts the raw total energy at -0.1981 Ry/atom.

No. 2
# Sr2NdTl

A relaxed structure of Sr2NdTl (PBE, the Alexandria database).

The structure in POSCAR format:
```
Sr2NdTl
1.0
5.1583 0.0000 0.0000
0.0000 5.1583 0.0000
0.0000 0.0000 5.5127
Sr Nd Tl
2 1 1
direct
0.0000 0.5000 0.0000 Sr
0.5000 0.0000 0.0000 Sr
0.0000 0.0000 0.5000 Nd
0.5000 0.5000 0.5000 Tl
```

Summary:
The calculation puts the raw total energy at -0.1991 Ry/atom.

Please write out number 1 again, unchanged.
# Sr5NdTl6

A relaxed structure of Sr5NdTl6 (PBE, the Alexandria database).

The structure in POSCAR format:
```
Sr5NdTl6
1.0
2.8763 -8.6531 0.0000
2.8763 8.6531 0.0000
0.0000 0.0000 8.1022
Sr Nd Tl
5 1 6
direct
0.0000 0.0000 0.0000 Sr
0.3313 0.6687 0.0000 Sr
0.3306 0.6694 0.5000 Sr
0.6687 0.3313 0.0000 Sr
0.6694 0.3306 0.5000 Sr
0.0000 0.0000 0.5000 Nd
0.1611 0.8389 0.2583 Tl
0.1611 0.8389 0.7417 Tl
0.5000 0.5000 0.2619 Tl
0.5000 0.5000 0.7381 Tl
0.8389 0.1611 0.2583 Tl
0.8389 0.1611 0.7417 Tl
```

Summary:
The calculation puts the raw total energy at -0.1981 Ry/atom.